Record 1
## NdSm6Er12 (PBE)

Data for a relaxed structure of NdSm6Er12.

Summary:
**Density of states at the Fermi level**: 1.584 states/eV/atom
**Energy of formation**: 11.2 kJ/mol of atoms
**Calculated density**: 8.33 Mg/m³

Unit cell a=11.0343 b=11.0343 c=17.3271 alpha=90.00 beta=90.00 gamma=120.00
Space group R-3m (No. 166, hexagonal axes)
Symmetry-distinct sites (fractional):
Nd: 0.0000 0.0000 0.0000 x3
Sm: 0.0701 0.5350 0.7653 x18
Er: 0.1039 0.5519 0.4146 x18
Er: 0.1064 0.2127 0.4093 x18

=====

Record 2
## NdSmEr6 (PBE)

Data for a relaxed structure of NdSmEr6.

Summary:
**Density of states at the Fermi level**: 2.159 states/eV/atom
**Energy of formation**: 22.3 kJ/mol of atoms
**Calculated density**: 8.41 Mg/m³

Unit cell a=6.6635 b=11.8309 c=6.5046 alpha=90.00 beta=90.84 gamma=90.00
Space group C2/m (No. 12)
Symmetry-distinct sites (fractional):
Nd: 0.0000 0.0000 0.0000 x2
Sm: 0.0000 0.0000 0.5000 x2
Er: 0.0360 0.5000 0.2506 x4
Er: 0.1722 0.2513 0.7475 x8

=====

Record 3
## Nd4Sm5Er2 (PBE)

Data for a relaxed structure of Nd4Sm5Er2.

Summary:
**Density of states at the Fermi level**: 1.542 states/eV/atom
**Energy of formation**: 9.4 kJ/mol of atoms
**Calculated density**: 7.30 Mg/m³

Unit cell a=24.2595 b=3.5668 c=8.7752 alpha=90.00 beta=94.44 gamma=90.00
Space group C2/m (No. 12)
Symmetry-distinct sites (fractional):
Nd: 0.0401 0.0000 0.3459 x4
Nd: 0.2257 0.5000 0.8260 x4
Sm: 0.0000 0.5000 0.0000 x2
Sm: 0.1301 0.0000 0.0456 x4
Sm: 0.1842 0.0000 0.4754 x4
Er: 0.0875 0.5000 0.6972 x4

=====

Record 4
## Nd2Sm5Er3 (PBE)

Data for a relaxed structure of Nd2Sm5Er3.

Summary:
**Density of states at the Fermi level**: 1.790 states/eV/atom
**Energy of formation**: 18.3 kJ/mol of atoms
**Calculated density**: 7.54 Mg/m³

Unit cell a=10.8374 b=15.8332 c=9.5634 alpha=90.00 beta=124.12 gamma=90.00
Space group C2/c (No. 15)
Symmetry-distinct sites (fractional):
Nd: 0.1419 0.1235 0.0498 x8
Sm: 0.0000 0.2312 0.2500 x4
Sm: 0.0000 0.2709 0.7500 x4
Sm: 0.0000 0.4679 0.7500 x4
Sm: 0.2308 0.3842 0.2168 x8
Er: 0.0000 0.0244 0.2500 x4
Er: 0.1585 0.3808 0.5456 x8

=====

Record 5
## Nd7Sm12Er (PBE)

Data for a relaxed structure of Nd7Sm12Er.

Summary:
**Density of states at the Fermi level**: 1.947 states/eV/atom
**Energy of formation**: 21.6 kJ/mol of atoms
**Calculated density**: 7.08 Mg/m³

Unit cell a=12.2220 b=12.2220 c=16.2250 alpha=90.00 beta=90.00 gamma=120.00
Space group R-3 (No. 148, hexagonal axes)
Symmetry-distinct sites (fractional):
Nd: 0.0000 0.0000 0.0000 x3
Nd: 0.0570 0.8692 0.2915 x18
Sm: 0.0257 0.5763 0.2224 x18
Sm: 0.0532 0.4659 0.5819 x18
Er: 0.0000 0.0000 0.5000 x3

=====

Record 6
## NdSm4Er7 (PBE)

Data for a relaxed structure of NdSm4Er7.

Summary:
**Density of states at the Fermi level**: 1.637 states/eV/atom
**Energy of formation**: 8.2 kJ/mol of atoms
**Calculated density**: 8.21 Mg/m³

Unit cell a=6.5563 b=6.8327 c=9.0089 alpha=84.50 beta=77.03 gamma=81.19
Space group P-1 (No. 2)
Symmetry-distinct sites (fractional):
Nd: 0.0000 0.0000 0.0000 x1
Sm: 0.1655 0.6124 0.3118 x2
Sm: 0.3619 0.1974 0.7113 x2
Er: 0.0000 0.5000 0.0000 x1
Er: 0.1887 0.1044 0.3839 x2
Er: 0.3180 0.7050 0.6446 x2
Er: 0.4857 0.2502 0.0484 x2

=====

Record 7
## NdSm10Er6 (PBE)

Data for a relaxed structure of NdSm10Er6.

Summary:
**Density of states at the Fermi level**: 1.497 states/eV/atom
**Energy of formation**: 12.9 kJ/mol of atoms
**Calculated density**: 7.78 Mg/m³

Unit cell a=9.7636 b=9.7636 c=6.8588 alpha=90.00 beta=90.00 gamma=120.00
Space group P-31m (No. 162)
Symmetry-distinct sites (fractional):
Nd: 0.0000 0.0000 0.0000 x1
Sm: 0.0000 0.2777 0.6814 x6
Sm: 0.3333 0.6667 0.0000 x2
Sm: 0.3333 0.6667 0.5000 x2
Er: 0.0000 0.3723 0.1911 x6

=====

Record 8
## Nd8Sm3Er2 (PBE)

Data for a relaxed structure of Nd8Sm3Er2.

Summary:
**Density of states at the Fermi level**: 1.463 states/eV/atom
**Energy of formation**: 20.1 kJ/mol of atoms
**Calculated density**: 7.00 Mg/m³

Unit cell a=20.4432 b=7.7514 c=5.8060 alpha=90.00 beta=90.03 gamma=90.00
Space group C2/m (No. 12)
Symmetry-distinct sites (fractional):
Nd: 0.1075 0.2072 0.0004 x8
Nd: 0.1338 0.5000 0.4996 x4
Nd: 0.1744 0.0000 0.5012 x4
Sm: 0.0000 0.2130 0.5000 x4
Sm: 0.0000 0.5000 0.0000 x2
Er: 0.2407 0.5000 0.9986 x4

=====

Record 9
## Nd4Sm3Er5 (PBE)

Data for a relaxed structure of Nd4Sm3Er5.

Summary:
**Density of states at the Fermi level**: 1.576 states/eV/atom
**Energy of formation**: 21.4 kJ/mol of atoms
**Calculated density**: 7.67 Mg/m³

Unit cell a=16.1015 b=5.9662 c=9.3847 alpha=90.00 beta=116.38 gamma=90.00
Space group C2/m (No. 12)
Symmetry-distinct sites (fractional):
Nd: 0.0846 0.0000 0.4462 x4
Nd: 0.2121 0.0000 0.8833 x4
Sm: 0.0000 0.5000 0.0000 x2
Sm: 0.2114 0.0000 0.2361 x4
Er: 0.0000 0.0000 0.0000 x2
Er: 0.0706 0.5000 0.6984 x4
Er: 0.1712 0.5000 0.3847 x4

=====

Record 10
## Nd2SmEr (PBE)

Data for a relaxed structure of Nd2SmEr.

Summary:
**Density of states at the Fermi level**: 1.177 states/eV/atom
**Energy of formation**: 1.4 kJ/mol of atoms
**Calculated density**: 7.50 Mg/m³

Unit cell a=3.6287 b=3.6287 c=35.3145 alpha=90.00 beta=90.00 gamma=120.00
Space group R-3m (No. 166, hexagonal axes)
Symmetry-distinct sites (fractional):
Nd: 0.0000 0.0000 0.2488 x6
Sm: 0.0000 0.0000 0.0000 x3
Er: 0.0000 0.0000 0.5000 x3

=====

Record 11
## Nd6Sm5Er (PBE)

Data for a relaxed structure of Nd6Sm5Er.

Summary:
**Density of states at the Fermi level**: 1.380 states/eV/atom
**Energy of formation**: 1.2 kJ/mol of atoms
**Calculated density**: 7.22 Mg/m³

Unit cell a=6.3213 b=10.9488 c=12.0524 alpha=90.00 beta=100.08 gamma=90.00
Space group C2/m (No. 12)
Symmetry-distinct sites (fractional):
Nd: 0.2484 0.1662 0.2488 x8
Nd: 0.2502 0.0000 0.7509 x4
Sm: 0.0000 0.1665 0.5000 x4
Sm: 0.0000 0.3332 0.0000 x4
Sm: 0.0000 0.5000 0.5000 x2
Er: 0.0000 0.0000 0.0000 x2

=====

Record 12
## Nd5Sm3Er (PBE)

Data for a relaxed structure of Nd5Sm3Er.

Summary:
**Density of states at the Fermi level**: 1.446 states/eV/atom
**Energy of formation**: 46.4 kJ/mol of atoms
**Calculated density**: 6.47 Mg/m³

Unit cell a=11.9599 b=11.8886 c=10.0506 alpha=90.00 beta=105.81 gamma=90.00
Space group C2/m (No. 12)
Symmetry-distinct sites (fractional):
Nd: 0.0000 0.2480 0.0000 x4
Nd: 0.1582 0.2497 0.6483 x8
Nd: 0.2433 0.0000 0.4211 x4
Nd: 0.2498 0.0000 0.0832 x4
Sm: 0.0000 0.0000 0.5000 x2
Sm: 0.0000 0.5000 0.0000 x2
Sm: 0.0028 0.0000 0.1774 x4
Sm: 0.0097 0.5000 0.3390 x4
Er: 0.2396 0.5000 0.2323 x4